[1]
# GGA-PBE BaAgTe4, relaxed
data_BaAgTe4
_cell_length_a 9.206
_cell_length_b 9.206
_cell_length_c 9.206
_cell_angle_alpha 90.00
_cell_angle_beta 90.00
_cell_angle_gamma 90.00
_symmetry_space_group_name_H-M 'F -4 3 m'
_symmetry_Int_Tables_number 216
_symmetry_space_group_name_Hall 'F -4 2 3'
loop_
_atom_site_label
_atom_site_fract_x
_atom_site_fract_y
_atom_site_fract_z
Ba1 0.000 0.000 0.000
Ag1 0.250 0.250 0.250
Te1 0.124 0.124 0.624
# * raw formation energy: -192.8 meV/atom
# * volume: 780.1 Å³ per cell
# * E above lowest polymorph: 244 meV/atom
# * theoretical density: 6.43 g/cm3

[2]
# GGA-PBE BaAg2Te2, relaxed
data_BaAg2Te2
_cell_length_a 11.089
_cell_length_b 4.675
_cell_length_c 11.922
_cell_angle_alpha 90.00
_cell_angle_beta 90.00
_cell_angle_gamma 90.00
_symmetry_space_group_name_H-M 'P n m a'
_symmetry_Int_Tables_number 62
loop_
_symmetry_equiv_pos_as_xyz
'x,y,z'
'-x,-y,-z'
'-x+1/2,-y,z+1/2'
'x+1/2,y,-z+1/2'
'x+1/2,-y+1/2,-z+1/2'
'-x+1/2,y+1/2,z+1/2'
'-x,y+1/2,-z'
'x,-y+1/2,z'
loop_
_atom_site_label
_atom_site_fract_x
_atom_site_fract_y
_atom_site_fract_z
Ba1 0.243 0.250 0.194
Ag1 0.060 0.750 0.415
Ag2 0.062 0.750 0.952
Te1 0.022 0.250 0.813
Te2 0.183 0.250 0.482
# * raw formation energy: -781.0 meV/atom
# * volume: 618.1 Å³ per cell
# * theoretical density: 6.54 g/cm3

[3]
# GGA-PBE Ba2Ag2Te, relaxed
data_Ba2Ag2Te
_cell_length_a 9.187
_cell_length_b 9.187
_cell_length_c 4.639
_cell_angle_alpha 90.00
_cell_angle_beta 90.00
_cell_angle_gamma 90.00
_symmetry_space_group_name_H-M 'P 4/m b m'
_symmetry_Int_Tables_number 127
_symmetry_space_group_name_Hall '-P 4 2ab'
loop_
_atom_site_label
_atom_site_fract_x
_atom_site_fract_y
_atom_site_fract_z
Ba1 0.178 0.322 0.000
Ag1 0.111 0.611 0.500
Te1 0.000 0.000 0.000
# * raw formation energy: -514.2 meV/atom
# * volume: 391.5 Å³ per cell
# * E above lowest polymorph: 147 meV/atom
# * theoretical density: 5.24 g/cm3

[4]
# GGA-PBE BaAg2Te2, relaxed
data_BaAg2Te2
_cell_length_a 8.758
_cell_length_b 8.758
_cell_length_c 3.966
_cell_angle_alpha 90.00
_cell_angle_beta 90.00
_cell_angle_gamma 90.00
_symmetry_space_group_name_H-M 'P 4/m b m'
_symmetry_Int_Tables_number 127
_symmetry_space_group_name_Hall '-P 4 2ab'
loop_
_atom_site_label
_atom_site_fract_x
_atom_site_fract_y
_atom_site_fract_z
Ba1 0.000 0.000 0.000
Ag1 0.123 0.377 0.500
Te1 0.160 0.660 0.000
# * raw formation energy: -339.7 meV/atom
# * volume: 304.2 Å³ per cell
# * theoretical density: 6.64 g/cm3

[5]
# GGA-PBE BaAgTe4, relaxed
data_BaAgTe4
_cell_length_a 6.526
_cell_length_b 6.526
_cell_length_c 21.515
_cell_angle_alpha 90.00
_cell_angle_beta 90.00
_cell_angle_gamma 90.00
_symmetry_space_group_name_H-M 'I 41/a m d'
_symmetry_Int_Tables_number 141
loop_
_symmetry_equiv_pos_as_xyz
'x,y,z'
'-x,-y,-z'
'-y+1/4,x+3/4,z+1/4'
'y+1/4,-x+3/4,-z+1/4'
'-x+1/2,-y,z+1/2'
'x+1/2,y,-z+1/2'
'y+1/4,-x+1/4,z+3/4'
'-y+1/4,x+1/4,-z+3/4'
'x,-y,-z'
'-x,y,z'
'-y+1/4,-x+1/4,-z+3/4'
'y+1/4,x+1/4,z+3/4'
'-x+1/2,y,-z+1/2'
'x+1/2,-y,z+1/2'
'y+1/4,x+3/4,-z+1/4'
'-y+1/4,-x+3/4,z+1/4'
'x+1/2,y+1/2,z+1/2'
'-x+1/2,-y+1/2,-z+1/2'
'-y+3/4,x+1/4,z+3/4'
'y+3/4,-x+1/4,-z+3/4'
'-x,-y+1/2,z'
'x,y+1/2,-z'
'y+3/4,-x+3/4,z+1/4'
'-y+3/4,x+3/4,-z+1/4'
'x+1/2,-y+1/2,-z+1/2'
'-x+1/2,y+1/2,z+1/2'
'-y+3/4,-x+3/4,-z+1/4'
'y+3/4,x+3/4,z+1/4'
'-x,y+1/2,-z'
'x,-y+1/2,z'
'y+3/4,x+1/4,-z+3/4'
'-y+3/4,-x+1/4,z+3/4'
loop_
_atom_site_label
_atom_site_fract_x
_atom_site_fract_y
_atom_site_fract_z
Ba1 0.000 0.250 0.375
Ag1 0.000 0.250 0.875
Te1 0.000 0.031 0.221
# * raw formation energy: -437.2 meV/atom
# * volume: 916.2 Å³ per cell
# * E above lowest polymorph: 0 meV/atom
# * theoretical density: 5.48 g/cm3

[6]
# GGA-PBE BaAg6Te4, relaxed
data_BaAg6Te4
_cell_length_a 10.161
_cell_length_b 10.229
_cell_length_c 7.473
_cell_angle_alpha 90.00
_cell_angle_beta 126.56
_cell_angle_gamma 90.00
_symmetry_space_group_name_H-M 'C 1 m 1'
_symmetry_Int_Tables_number 8
loop_
_symmetry_equiv_pos_as_xyz
'x,y,z'
'x,-y,z'
'x+1/2,y+1/2,z'
'x+1/2,-y+1/2,z'
loop_
_atom_site_label
_atom_site_fract_x
_atom_site_fract_y
_atom_site_fract_z
Ba1 0.000 0.000 0.000
Ag1 0.061 0.500 0.786
Ag2 0.258 0.250 0.482
Ag3 0.367 0.500 0.397
Ag4 0.431 0.143 0.990
Te1 0.117 0.500 0.461
Te2 0.199 0.000 0.581
Te3 0.239 0.278 0.081
# * raw formation energy: -329.4 meV/atom
# * volume: 623.9 Å³ per cell
# * theoretical density: 6.89 g/cm3

[7]
# GGA-PBE BaAg3Te, relaxed
data_BaAg3Te
_cell_length_a 5.482
_cell_length_b 5.482
_cell_length_c 5.482
_cell_angle_alpha 90.00
_cell_angle_beta 90.00
_cell_angle_gamma 90.00
_symmetry_space_group_name_H-M 'P m -3 m'
_symmetry_Int_Tables_number 221
_symmetry_space_group_name_Hall '-P 4 2 3'
loop_
_atom_site_label
_atom_site_fract_x
_atom_site_fract_y
_atom_site_fract_z
Ba1 0.000 0.000 0.000
Ag1 0.000 0.500 0.500
Te1 0.500 0.500 0.500
# * raw formation energy: 64.8 meV/atom
# * volume: 164.8 Å³ per cell
# * E above lowest polymorph: 0 meV/atom
# * theoretical density: 5.93 g/cm3

[8]
# GGA-PBE Ba2Ag2Te, relaxed
data_Ba2Ag2Te
_cell_length_a 6.073
_cell_length_b 6.073
_cell_length_c 10.453
_cell_angle_alpha 90.00
_cell_angle_beta 90.00
_cell_angle_gamma 90.00
_symmetry_space_group_name_H-M 'I 4/m m m'
_symmetry_Int_Tables_number 139
_symmetry_space_group_name_Hall '-I 4 2'
loop_
_atom_site_label
_atom_site_fract_x
_atom_site_fract_y
_atom_site_fract_z
Ba1 0.000 0.500 0.250
Ag1 0.000 0.000 0.127
Te1 0.000 0.000 0.500
# * raw formation energy: -426.7 meV/atom
# * volume: 385.5 Å³ per cell
# * E above lowest polymorph: 235 meV/atom
# * theoretical density: 5.32 g/cm3

[9]
# GGA-PBE BaAg3Te3, relaxed
data_BaAg3Te3
_cell_length_a 8.0708
_cell_length_b 8.0708
_cell_length_c 24.2420
_cell_angle_alpha 90.00
_cell_angle_beta 90.00
_cell_angle_gamma 120.00
_symmetry_space_group_name_H-M 'R -3'
_symmetry_Int_Tables_number 148
_symmetry_space_group_name_Hall '-R 3'
loop_
_atom_site_label
_atom_site_fract_x
_atom_site_fract_y
_atom_site_fract_z
Ba1 0.0000 0.0000 0.1661
Ag1 0.0038 0.6507 0.6258
Te1 0.0020 0.6817 0.4120
# * raw formation energy: -510.3 meV/atom
# * volume: 1367.5 Å³ per cell
# * E above lowest polymorph: 13 meV/atom
# * theoretical density: 6.15 g/cm3

[10]
# GGA-PBE BaAg2Te2, relaxed
data_BaAg2Te2
_cell_length_a 4.463
_cell_length_b 4.463
_cell_length_c 15.027
_cell_angle_alpha 90.00
_cell_angle_beta 90.00
_cell_angle_gamma 90.00
_symmetry_space_group_name_H-M 'I 4/m m m'
_symmetry_Int_Tables_number 139
_symmetry_space_group_name_Hall '-I 4 2'
loop_
_atom_site_label
_atom_site_fract_x
_atom_site_fract_y
_atom_site_fract_z
Ba1 0.000 0.000 0.000
Ag1 0.000 0.500 0.250
Te1 0.000 0.000 0.376
# * raw formation energy: -741.6 meV/atom
# * volume: 299.3 Å³ per cell
# * theoretical density: 6.75 g/cm3

[11]
# GGA-PBE Ba2AgTe, relaxed
data_Ba2AgTe
_cell_length_a 8.546
_cell_length_b 4.916
_cell_length_c 8.722
_cell_angle_alpha 90.00
_cell_angle_beta 108.87
_cell_angle_gamma 90.00
_symmetry_space_group_name_H-M 'C 1 2/m 1'
_symmetry_Int_Tables_number 12
loop_
_symmetry_equiv_pos_as_xyz
'x,y,z'
'-x,-y,-z'
'-x,y,-z'
'x,-y,z'
'x+1/2,y+1/2,z'
'-x+1/2,-y+1/2,-z'
'-x+1/2,y+1/2,-z'
'x+1/2,-y+1/2,z'
loop_
_atom_site_label
_atom_site_fract_x
_atom_site_fract_y
_atom_site_fract_z
Ba1 0.250 0.000 0.249
Ag1 0.000 0.500 0.000
Te1 0.000 0.000 0.500
# * raw formation energy: -905.1 meV/atom
# * volume: 346.7 Å³ per cell
# * theoretical density: 4.89 g/cm3

[12]
# GGA-PBE Ba2Ag2Te, relaxed
data_Ba2Ag2Te
_cell_length_a 4.181
_cell_length_b 4.181
_cell_length_c 19.253
_cell_angle_alpha 90.00
_cell_angle_beta 90.00
_cell_angle_gamma 90.00
_symmetry_space_group_name_H-M 'I 4/m m m'
_symmetry_Int_Tables_number 139
_symmetry_space_group_name_Hall '-I 4 2'
loop_
_atom_site_label
_atom_site_fract_x
_atom_site_fract_y
_atom_site_fract_z
Ba1 0.000 0.000 0.107
Ag1 0.000 0.500 0.250
Te1 0.000 0.000 0.500
# * raw formation energy: -661.3 meV/atom
# * volume: 336.6 Å³ per cell
# * E above lowest polymorph: 0 meV/atom
# * theoretical density: 6.10 g/cm3

[13]
# GGA-PBE Ba2AgTe, relaxed
data_Ba2AgTe
_cell_length_a 4.881
_cell_length_b 27.666
_cell_length_c 4.988
_cell_angle_alpha 90.00
_cell_angle_beta 90.00
_cell_angle_gamma 90.00
_symmetry_space_group_name_H-M 'C m c m'
_symmetry_Int_Tables_number 63
_symmetry_space_group_name_Hall '-C 2c 2'
loop_
_atom_site_label
_atom_site_fract_x
_atom_site_fract_y
_atom_site_fract_z
Ba1 0.000 0.063 0.250
Ba2 0.000 0.314 0.250
Ag1 0.000 0.470 0.250
Te1 0.000 0.188 0.250
# * raw formation energy: -975.4 meV/atom
# * volume: 673.6 Å³ per cell
# * theoretical density: 5.03 g/cm3

[14]
# GGA-PBE BaAgTe5, relaxed
data_BaAgTe5
_cell_length_a 11.783
_cell_length_b 7.133
_cell_length_c 12.802
_cell_angle_alpha 90.00
_cell_angle_beta 106.37
_cell_angle_gamma 90.00
_symmetry_space_group_name_H-M 'C 1 2/c 1'
_symmetry_Int_Tables_number 15
loop_
_symmetry_equiv_pos_as_xyz
'x,y,z'
'-x,-y,-z'
'-x,y,-z+1/2'
'x,-y,z+1/2'
'x+1/2,y+1/2,z'
'-x+1/2,-y+1/2,-z'
'-x+1/2,y+1/2,-z+1/2'
'x+1/2,-y+1/2,z+1/2'
loop_
_atom_site_label
_atom_site_fract_x
_atom_site_fract_y
_atom_site_fract_z
Ba1 0.000 0.093 0.250
Ag1 0.000 0.500 0.000
Te1 0.000 0.433 0.750
Te2 0.121 0.162 0.995
Te3 0.241 0.063 0.672
# * raw formation energy: -379.6 meV/atom
# * volume: 1032.4 Å³ per cell
# * theoretical density: 5.68 g/cm3

[15]
# GGA-PBE Ba2AgTe, relaxed
data_Ba2AgTe
_cell_length_a 17.424
_cell_length_b 4.507
_cell_length_c 4.567
_cell_angle_alpha 90.00
_cell_angle_beta 105.11
_cell_angle_gamma 90.00
_symmetry_space_group_name_H-M 'C 1 m 1'
_symmetry_Int_Tables_number 8
loop_
_symmetry_equiv_pos_as_xyz
'x,y,z'
'x,-y,z'
'x+1/2,y+1/2,z'
'x+1/2,-y+1/2,z'
loop_
_atom_site_label
_atom_site_fract_x
_atom_site_fract_y
_atom_site_fract_z
Ba1 0.000 0.000 0.000
Ba2 0.249 0.000 0.749
Ag1 0.412 0.000 0.412
Te1 0.163 0.500 0.164
# * raw formation energy: -828.8 meV/atom
# * volume: 346.2 Å³ per cell
# * theoretical density: 4.89 g/cm3

[16]
# GGA-PBE BaAg4Te, relaxed
data_BaAg4Te
_cell_length_a 8.356
_cell_length_b 8.356
_cell_length_c 8.356
_cell_angle_alpha 90.00
_cell_angle_beta 90.00
_cell_angle_gamma 90.00
_symmetry_space_group_name_H-M 'F -4 3 m'
_symmetry_Int_Tables_number 216
_symmetry_space_group_name_Hall 'F -4 2 3'
loop_
_atom_site_label
_atom_site_fract_x
_atom_site_fract_y
_atom_site_fract_z
Ba1 0.000 0.000 0.000
Ag1 0.124 0.124 0.376
Te1 0.250 0.250 0.750
# * raw formation energy: -283.6 meV/atom
# * volume: 583.5 Å³ per cell
# * theoretical density: 7.93 g/cm3

[17]
# GGA-PBE BaAg3Te3, relaxed
data_BaAg3Te3
_cell_length_a 10.8950
_cell_length_b 10.8950
_cell_length_c 4.7517
_cell_angle_alpha 90.00
_cell_angle_beta 90.00
_cell_angle_gamma 120.00
_symmetry_space_group_name_H-M 'P 63/m'
_symmetry_Int_Tables_number 176
_symmetry_space_group_name_Hall '-P 6c'
loop_
_atom_site_label
_atom_site_fract_x
_atom_site_fract_y
_atom_site_fract_z
Ba1 0.3333 0.6667 0.2500
Ag1 0.0493 0.4194 0.7500
Te1 0.1006 0.7062 0.7500
# * raw formation energy: -523.3 meV/atom
# * volume: 488.5 Å³ per cell
# * E above lowest polymorph: 0 meV/atom
# * theoretical density: 5.74 g/cm3

[18]
# GGA-PBE BaAg4Te3, relaxed
data_BaAg4Te3
_cell_length_a 4.488
_cell_length_b 4.488
_cell_length_c 11.223
_cell_angle_alpha 90.00
_cell_angle_beta 90.00
_cell_angle_gamma 90.00
_symmetry_space_group_name_H-M 'P 4/m m m'
_symmetry_Int_Tables_number 123
_symmetry_space_group_name_Hall '-P 4 2'
loop_
_atom_site_label
_atom_site_fract_x
_atom_site_fract_y
_atom_site_fract_z
Ba1 0.000 0.000 0.000
Ag1 0.000 0.500 0.333
Te1 0.000 0.000 0.500
Te2 0.500 0.500 0.167
# * raw formation energy: -464.8 meV/atom
# * volume: 226.1 Å³ per cell
# * theoretical density: 6.99 g/cm3

[19]
# GGA-PBE Ba2AgTe, relaxed
data_Ba2AgTe
_cell_length_a 8.286
_cell_length_b 8.286
_cell_length_c 8.286
_cell_angle_alpha 90.00
_cell_angle_beta 90.00
_cell_angle_gamma 90.00
_symmetry_space_group_name_H-M 'F -4 3 m'
_symmetry_Int_Tables_number 216
_symmetry_space_group_name_Hall 'F -4 2 3'
loop_
_atom_site_label
_atom_site_fract_x
_atom_site_fract_y
_atom_site_fract_z
Ba1 0.000 0.000 0.000
Ba2 0.250 0.250 0.250
Ag1 0.000 0.000 0.500
Te1 0.250 0.250 0.750
# * raw formation energy: -359.2 meV/atom
# * volume: 568.8 Å³ per cell
# * theoretical density: 5.96 g/cm3

[20]
# GGA-PBE Ba2AgTe, relaxed
data_Ba2AgTe
_cell_length_a 4.8724
_cell_length_b 4.8724
_cell_length_c 25.4227
_cell_angle_alpha 90.00
_cell_angle_beta 90.00
_cell_angle_gamma 120.00
_symmetry_space_group_name_H-M 'R 3 m'
_symmetry_Int_Tables_number 160
_symmetry_space_group_name_Hall 'R 3 -2"'
loop_
_atom_site_label
_atom_site_fract_x
_atom_site_fract_y
_atom_site_fract_z
Ba1 0.0000 0.0000 0.0000
Ba2 0.0000 0.0000 0.1708
Ag1 0.0000 0.0000 0.5847
Te1 0.0000 0.0000 0.4193
# * raw formation energy: -867.4 meV/atom
# * volume: 522.7 Å³ per cell
# * theoretical density: 4.86 g/cm3

[21]
# GGA-PBE Ba2AgTe, relaxed
data_Ba2AgTe
_cell_length_a 4.271
_cell_length_b 4.271
_cell_length_c 8.211
_cell_angle_alpha 90.00
_cell_angle_beta 90.00
_cell_angle_gamma 90.00
_symmetry_space_group_name_H-M 'P 4/m m m'
_symmetry_Int_Tables_number 123
_symmetry_space_group_name_Hall '-P 4 2'
loop_
_atom_site_label
_atom_site_fract_x
_atom_site_fract_y
_atom_site_fract_z
Ba1 0.000 0.000 0.249
Ag1 0.500 0.500 0.500
Te1 0.500 0.500 0.000
# * raw formation energy: -900.0 meV/atom
# * volume: 149.8 Å³ per cell
# * theoretical density: 5.66 g/cm3

[22]
# GGA-PBE BaAg3Te, relaxed
data_BaAg3Te
_cell_length_a 5.881
_cell_length_b 5.881
_cell_length_c 5.881
_cell_angle_alpha 90.00
_cell_angle_beta 90.00
_cell_angle_gamma 90.00
_symmetry_space_group_name_H-M 'P m -3 m'
_symmetry_Int_Tables_number 221
_symmetry_space_group_name_Hall '-P 4 2 3'
loop_
_atom_site_label
_atom_site_fract_x
_atom_site_fract_y
_atom_site_fract_z
Ba1 0.000 0.000 0.000
Ag1 0.000 0.000 0.500
Te1 0.500 0.500 0.500
# * raw formation energy: 969.8 meV/atom
# * volume: 203.4 Å³ per cell
# * E above lowest polymorph: 905 meV/atom
# * theoretical density: 4.80 g/cm3

[23]
# GGA-PBE BaAg3Te3, relaxed
data_BaAg3Te3
_cell_length_a 7.812
_cell_length_b 7.812
_cell_length_c 7.812
_cell_angle_alpha 90.00
_cell_angle_beta 90.00
_cell_angle_gamma 90.00
_symmetry_space_group_name_H-M 'P m -3 n'
_symmetry_Int_Tables_number 223
_symmetry_space_group_name_Hall '-P 4n 2 3'
loop_
_atom_site_label
_atom_site_fract_x
_atom_site_fract_y
_atom_site_fract_z
Ba1 0.000 0.000 0.000
Ag1 0.000 0.250 0.500
Te1 0.000 0.500 0.250
# * raw formation energy: -415.3 meV/atom
# * volume: 476.8 Å³ per cell
# * E above lowest polymorph: 108 meV/atom
# * theoretical density: 5.88 g/cm3

[24]
# GGA-PBE Ba2AgTe, relaxed
data_Ba2AgTe
_cell_length_a 5.356
_cell_length_b 4.586
_cell_length_c 12.875
_cell_angle_alpha 90.00
_cell_angle_beta 90.00
_cell_angle_gamma 90.00
_symmetry_space_group_name_H-M 'A m m 2'
_symmetry_Int_Tables_number 38
loop_
_symmetry_equiv_pos_as_xyz
'x,y,z'
'-x,-y,z'
'-x,y,z'
'x,-y,z'
'x,y+1/2,z+1/2'
'-x,-y+1/2,z+1/2'
'-x,y+1/2,z+1/2'
'x,-y+1/2,z+1/2'
loop_
_atom_site_label
_atom_site_fract_x
_atom_site_fract_y
_atom_site_fract_z
Ba1 0.000 0.000 0.000
Ba2 0.500 0.000 0.256
Ag1 0.000 0.000 0.734
Te1 0.500 0.000 0.531
# * raw formation energy: -885.1 meV/atom
# * volume: 316.2 Å³ per cell
# * theoretical density: 5.36 g/cm3